[1]
Material: Tc2TeCl
Method: DFT, GGA-PBEsol
State: relaxed

## Properties
**Symmetry**: Cmmm (65)
**Uncorrected energy**: -6.208 eV/atom
**E above lowest polymorph**: 0.0 meV per atom
**Uncorrected formation energy**: 312 kJ/mol of formula units

a b c (Å): 3.0709 3.1313 8.2027
angles (deg): 90.00 90.00 119.36
Fractional positions:
Cl: 0.5000 0.0000 0.0000
Te: 0.5000 0.0000 0.5000
Tc: 0.0000 0.0000 0.7495
Tc: 0.0000 0.0000 0.2505

=====

[2]
Material: Li2VO2F
Method: DFT, GGA-PBEsol
State: relaxed

## Properties
**Symmetry**: Cm (8)
**Uncorrected energy**: -6.757 eV/atom
**E above lowest polymorph**: 88.9 meV per atom
**Uncorrected formation energy**: -1403 kJ/mol of formula units

a b c (Å): 2.8990 5.8896 6.2967
angles (deg): 102.72 103.27 90.03
Fractional positions:
V: 0.9910 0.9987 0.9835
O: 0.4985 0.2318 0.9982
V: 0.6743 0.8603 0.3468
Li: 0.3357 0.1799 0.6708
F: 0.1689 0.5871 0.3370
Li: 0.9936 0.4823 0.9879
O: 0.8321 0.9141 0.6638
F: 0.8298 0.4204 0.6598
O: 0.1656 0.0780 0.3299
Li: 0.3400 0.6599 0.6803
O: 0.5050 0.7603 0.0112
Li: 0.6655 0.3271 0.3308

=====

[3]
Material: ZnGaCuSe3
Method: DFT, GGA-PBEsol
State: relaxed

## Properties
**Symmetry**: Cm (8)
**Uncorrected energy**: -3.984 eV/atom
**Uncorrected formation energy**: -299 kJ/mol of formula units

a b c (Å): 3.9571 5.5897 6.8315
angles (deg): 114.12 106.83 90.00
Fractional positions:
Se: 0.4996 0.7584 0.9989
Cu: 0.0007 0.9917 0.0011
Se: 0.8366 0.0794 0.6735
Zn: 0.3359 0.3347 0.6723
Se: 0.1632 0.4096 0.3262
Ga: 0.6641 0.6761 0.3280

=====

[4]
Material: ErHS2O8
Method: DFT, GGA-PBEsol
State: relaxed

## Properties
**Symmetry**: P2_1/c (14)
**Uncorrected energy**: -6.832 eV/atom

a b c (Å): 5.4800 10.4738 10.7661
angles (deg): 90.00 90.00 103.53
Fractional positions:
S: 0.3212 0.0034 0.3200
S: 0.3772 0.1758 0.9508
O: 0.1154 0.0166 0.2380
O: 0.2574 0.0275 0.4559
O: 0.1169 0.6917 0.4844
O: 0.2611 0.0373 0.9271
H: 0.2771 0.1245 0.4797
S: 0.6228 0.8242 0.0492
S: 0.1228 0.3242 0.4508
O: 0.7611 0.5373 0.5729
S: 0.8212 0.5034 0.1800
O: 0.0546 0.6000 0.2112
O: 0.3846 0.4834 0.7380
O: 0.0912 0.2458 0.3364
Er: 0.8826 0.1579 0.1660
H: 0.7771 0.6245 0.0203
O: 0.5546 0.1000 0.2888
O: 0.8542 0.3699 0.1806
O: 0.6458 0.1301 0.6806
Er: 0.6174 0.3421 0.6660
O: 0.7389 0.9627 0.0729
O: 0.3542 0.8699 0.3194
O: 0.3831 0.8083 0.9844
O: 0.7574 0.5275 0.0441
O: 0.7426 0.9725 0.5441
O: 0.6993 0.7320 0.4688
O: 0.2389 0.4627 0.4271
H: 0.2229 0.3755 0.9797
O: 0.1993 0.2320 0.0312
S: 0.6788 0.9966 0.6800
O: 0.9088 0.7542 0.6636
O: 0.2426 0.4725 0.9559
O: 0.5912 0.7458 0.1636
O: 0.3007 0.2680 0.5312
O: 0.4088 0.2542 0.8364
Er: 0.1174 0.8421 0.8340
Er: 0.3826 0.6579 0.3340
O: 0.6169 0.1917 0.0156
O: 0.9454 0.4000 0.7888
O: 0.8831 0.3083 0.5156
O: 0.8846 0.9834 0.7620
S: 0.8772 0.6758 0.5492
O: 0.6154 0.5166 0.2620
O: 0.1458 0.6301 0.8194
O: 0.8007 0.7680 0.9688
H: 0.7229 0.8755 0.5203
S: 0.1788 0.4966 0.8200
O: 0.4454 0.9000 0.7112